[1]
The following is a DFT calculation (PBE) of a relaxed structure of La2NbSe5.

Unit cell a=7.296 b=7.296 c=6.586 alpha=123.63 beta=123.63 gamma=90.01
Fractional positions:
La 0.284 0.784 0.567
La 0.784 0.284 0.567
Se 0.771 0.261 0.032
Se 0.684 0.684 0.368
Se 0.261 0.771 0.032
Se 0.260 0.260 0.032
Nb 0.962 0.962 0.924
Se 0.771 0.771 0.032

Properties
- ΔE_f (raw): -1.291 eV per atom
- SG: I4mm, No. 107
- N(E_F): 3.35 states/eV/f.u.
- Raw total energy: -47.68 eV per cell



[2]
The following is a DFT calculation (PBE) of a relaxed structure of La2NbSe.

Unit cell a=8.184 b=8.184 c=6.653 alpha=52.04 beta=52.04 gamma=90.00
Site moments in Bohr magnetons follow the coordinates.
Fractional positions:
Se 0.500 0.500 0.000  0.01
Nb 0.750 0.250 0.500  1.44
Se 0.250 0.750 0.500  0.01
Nb 0.000 0.000 0.000  1.44
La 0.623 0.125 0.250  -0.05
La 0.375 0.377 0.750  -0.05
La 0.127 0.625 0.250  -0.05
La 0.875 0.873 0.750  -0.06

Properties
- ΔE_f (raw): -0.056 eV per atom
- SG: I-42d, No. 122
- N(E_F): 4.39 states/eV/f.u.
- Raw total energy: -47.27 eV per cell